[1]
A plane-wave DFT calculation with GGA-PBE was carried out for a relaxed structure of Rb2HfAl.

- Total moment: 1.85 μB/cell
- Energy: -2.8568 eV/atom
- SG: I-42d (122)
- Calculated volume: 63.19 Å³/atom
- Formation energy from the elements: 1.05 eV/atom

Cell: 10.0818 10.0818 10.0818 Å, 94.04 94.04 149.23°
With the nearest neighbours (Å) after each atom.
Fractional coordinates of all 8 atoms:
Rb 0.3750 0.2028 0.3278  2 Al 3.66
Rb 0.7972 0.1250 0.1722  2 Al 3.66
Rb 0.8750 0.0472 0.6722  2 Al 3.66
Rb 0.9528 0.6250 0.8278  2 Al 3.66
Hf 0.2500 0.7500 0.5000  2 Al 2.67
Hf 0.5000 0.5000 0.0000  2 Al 2.67
Al 0.0000 0.0000 0.0000  2 Hf 2.67
Al 0.7500 0.2500 0.5000  2 Hf 2.67

[2]
A plane-wave DFT calculation with GGA-PBE was carried out for a relaxed structure of RbHfAl3.

- Total moment: 1.16 μB/cell
- Energy: -3.7992 eV/atom
- Energy above the most stable polymorph in this dataset: 0.000 eV/f.u.
- SG: Pm-3m (221)
- Calculated volume: 32.42 Å³/atom
- Formation energy from the elements: 0.63 eV/atom

Cell: 5.4527 5.4527 5.4527 Å, 90.00 90.00 90.00°
With the nearest neighbours (Å) after each atom.
Fractional coordinates of all 5 atoms:
Rb 0.0000 0.0000 0.0000  12 Al 3.86
Hf 0.5000 0.5000 0.5000  6 Al 2.73
Al 0.0000 0.5000 0.5000  2 Hf 2.73
Al 0.5000 0.0000 0.5000  2 Hf 2.73
Al 0.5000 0.5000 0.0000  2 Hf 2.73

[3]
A plane-wave DFT calculation with GGA-PBE was carried out for a relaxed structure of RbHfAl.

- Total moment: 1.39 μB/cell
- Energy: -4.2615 eV/atom
- Energy above the most stable polymorph in this dataset: 1.573 eV/f.u.
- SG: P4/nmm (129)
- Calculated volume: 38.98 Å³/atom
- Formation energy from the elements: 0.63 eV/atom

Cell: 5.2747 5.2747 8.4052 Å, 90.00 90.00 90.00°
With the nearest neighbours (Å) after each atom.
Fractional coordinates of all 6 atoms:
Rb 0.2500 0.2500 0.1517  1 Hf 3.63, 4 Al 3.94
Rb 0.7500 0.7500 0.8483  1 Hf 3.63, 4 Al 3.94
Hf 0.2500 0.2500 0.5837  4 Al 2.73
Hf 0.7500 0.7500 0.4163  4 Al 2.73
Al 0.2500 0.7500 0.5000  4 Hf 2.73
Al 0.7500 0.2500 0.5000  4 Hf 2.73

[4]
A plane-wave DFT calculation with GGA-PBE was carried out for a relaxed structure of RbHfAl.

- Total moment: 0.00 μB/cell
- Energy: -4.4059 eV/atom
- Energy above the most stable polymorph in this dataset: 1.140 eV/f.u.
- SG: Pnma (62)
- Calculated volume: 33.62 Å³/atom
- Formation energy from the elements: 0.48 eV/atom

Cell: 13.9428 5.5794 5.1868 Å, 90.00 90.00 90.00°
With the nearest neighbours (Å) after each atom.
Fractional coordinates of all 12 atoms:
Rb 0.2488 0.2500 0.2347  2 Hf 3.72-3.73, 4 Rb 3.81, 4 Al 3.93-4.01
Rb 0.2512 0.7500 0.7347  2 Hf 3.72-3.73, 4 Rb 3.81, 4 Al 3.93-4.01
Rb 0.7488 0.2500 0.2653  2 Hf 3.72-3.73, 4 Rb 3.81, 4 Al 3.93-4.01
Rb 0.7512 0.7500 0.7653  2 Hf 3.72-3.73, 4 Rb 3.81, 4 Al 3.93-4.01
Hf 0.0004 0.2500 0.5025  2 Hf 2.79, 4 Al 2.93-2.96
Hf 0.9996 0.7500 0.4975  2 Hf 2.79, 4 Al 2.93-2.96
Hf 0.5004 0.2500 0.9975  2 Hf 2.79, 4 Al 2.93-2.96
Hf 0.4996 0.7500 0.0025  2 Hf 2.79, 4 Al 2.93-2.96
Al 0.0000 0.0000 0.0000  2 Al 2.79, 4 Hf 2.93-2.96
Al 0.0000 0.5000 0.0000  2 Al 2.79, 4 Hf 2.93-2.96
Al 0.5000 0.0000 0.5000  2 Al 2.79, 4 Hf 2.93-2.96
Al 0.5000 0.5000 0.5000  2 Al 2.79, 4 Hf 2.93-2.96

[5]
A plane-wave DFT calculation with GGA-PBE was carried out for a relaxed structure of RbHfAl.

- Total moment: 0.00 μB/cell
- Energy: -4.5971 eV/atom
- Energy above the most stable polymorph in this dataset: 0.566 eV/f.u.
- SG: P1 (1)
- Calculated volume: 38.03 Å³/atom
- Formation energy from the elements: 0.29 eV/atom

Cell: 3.9356 5.1058 12.4697 Å, 98.45 90.27 112.67°
With the nearest neighbours (Å) after each atom.
Fractional coordinates of all 6 atoms:
Rb 0.0000 0.0000 0.0000  3 Hf 3.79-4.03, 2 Rb 3.94, 2 Al 4.22-4.23
Rb 0.3334 0.6838 0.3473  3 Al 3.71-3.92, 2 Rb 3.94, 2 Hf 4.01
Hf 0.2225 0.4489 0.7736  4 Al 2.82-2.99, 2 Hf 2.90
Hf 0.7937 0.5958 0.6202  6 Al 2.84-3.03, 2 Hf 2.90
Al 0.0701 0.1505 0.5581  2 Al 2.79, 4 Hf 2.82-2.89
Al 0.5089 0.0239 0.7018  2 Al 2.79, 6 Hf 2.85-3.03

[6]
A plane-wave DFT calculation with GGA-PBE was carried out for a relaxed structure of RbHfAl.

- Total moment: 0.00 μB/cell
- Energy: -4.6756 eV/atom
- Energy above the most stable polymorph in this dataset: 0.330 eV/f.u.
- SG: P1 (1)
- Calculated volume: 40.14 Å³/atom
- Formation energy from the elements: 0.21 eV/atom

Cell: 4.7562 4.7596 12.5316 Å, 90.53 99.71 119.94°
With the nearest neighbours (Å) after each atom.
Fractional coordinates of all 6 atoms:
Rb 0.0000 0.0000 0.0000  3 Al 3.75-3.76, 1 Hf 3.83
Rb 0.3787 0.2041 0.6240  3 Al 3.75, 1 Hf 3.83
Hf 0.1889 0.1009 0.3120  3 Hf 2.74-2.75, 6 Al 3.02-3.03
Hf 0.8559 0.4357 0.3120  3 Hf 2.74-2.75, 6 Al 3.02-3.03
Al 0.4594 0.7343 0.2083  1 Al 2.55
Al 0.5855 0.8023 0.4158  1 Al 2.55

Among the records above, which one has the lowest calculated volume?
RbHfAl3